[1]
Entry from the Alexandria database: DyTlBi after structural relaxation (PBE-GGA).

Summary:
ρ	10660	kg/m3
ΔE_f	-0.28	eV/atom
spin magnetization	0.00	μB/f.u.

Cell and atoms, written as CIF:
```
data_DyTlBi
_chemical_formula_sum 'Dy2 Tl2 Bi2'
_space_group_name_H-M_alt 'I 4 m m'
_space_group_IT_number 107
_space_group_name_Hall 'I 4 -2'
_cell_length_a 4.222
_cell_length_b 4.222
_cell_length_c 10.067
_cell_angle_alpha 90.00
_cell_angle_beta 90.00
_cell_angle_gamma 90.00
loop_
_atom_site_label
_atom_site_fract_x
_atom_site_fract_y
_atom_site_fract_z
_atom_site_occupancy
Dy1 0.000 0.000 0.000 1
Tl1 0.000 0.000 0.673 1
Bi1 0.000 0.000 0.357 1
```

=====

[2]
Entry from the Alexandria database: Dy7Tl5Bi after structural relaxation (PBE-GGA).

Summary:
ρ	10229	kg/m3
ΔE_f	-0.19	eV/atom
spin magnetization	0.00	μB/f.u.

Cell and atoms, written as CIF:
```
data_Dy7Tl5Bi
_chemical_formula_sum 'Dy14 Tl10 Bi2'
_space_group_name_H-M_alt 'I m m 2'
_space_group_IT_number 44
_space_group_name_Hall 'I 2 -2'
_cell_length_a 6.352
_cell_length_b 11.371
_cell_length_c 10.645
_cell_angle_alpha 90.00
_cell_angle_beta 90.00
_cell_angle_gamma 90.00
loop_
_atom_site_label
_atom_site_fract_x
_atom_site_fract_y
_atom_site_fract_z
_atom_site_occupancy
Dy1 0.000 0.000 0.000 1
Dy2 0.000 0.000 0.382 1
Dy3 0.000 0.333 0.600 1
Dy4 0.000 0.335 0.081 1
Dy5 0.000 0.500 0.335 1
Tl1 0.000 0.500 0.834 1
Tl2 0.247 0.259 0.343 1
Bi1 0.000 0.000 0.679 1
```

=====

[3]
Entry from the Alexandria database: Dy2TlBi after structural relaxation (PBE-GGA).

Summary:
ρ	10107	kg/m3
ΔE_f	-0.57	eV/atom
spin magnetization	0.00	μB/f.u.

Cell and atoms, written as CIF:
```
data_Dy2TlBi
_chemical_formula_sum 'Dy8 Tl4 Bi4'
_space_group_name_H-M_alt 'C m c m'
_space_group_IT_number 63
_space_group_name_Hall '-C 2c 2'
_cell_length_a 4.550
_cell_length_b 24.181
_cell_length_c 4.411
_cell_angle_alpha 90.00
_cell_angle_beta 90.00
_cell_angle_gamma 90.00
loop_
_atom_site_label
_atom_site_fract_x
_atom_site_fract_y
_atom_site_fract_z
_atom_site_occupancy
Dy1 0.000 0.061 0.250 1
Dy2 0.000 0.319 0.250 1
Tl1 0.000 0.454 0.250 1
Bi1 0.000 0.189 0.250 1
```

=====

[4]
Entry from the Alexandria database: Dy2TlBi after structural relaxation (PBE-GGA).

Summary:
ρ	10813	kg/m3
ΔE_f	-0.48	eV/atom
spin magnetization	0.00	μB/f.u.

Cell and atoms, written as CIF:
```
data_Dy2TlBi
_chemical_formula_sum 'Dy2 Tl1 Bi1'
_space_group_name_H-M_alt 'P 4/m m m'
_space_group_IT_number 123
_space_group_name_Hall '-P 4 2'
_cell_length_a 4.028
_cell_length_b 4.028
_cell_length_c 6.988
_cell_angle_alpha 90.00
_cell_angle_beta 90.00
_cell_angle_gamma 90.00
loop_
_atom_site_label
_atom_site_fract_x
_atom_site_fract_y
_atom_site_fract_z
_atom_site_occupancy
Dy1 0.000 0.000 0.246 1
Tl1 0.500 0.500 0.500 1
Bi1 0.500 0.500 0.000 1
```